1.
TaV2Pt2 PBE-GGA optimized geometry; space group = No. 127; energy relative to the lowest polymorph listed for this composition = 0 meV/atom
1.0
7.542 0.000 0.000
0.000 7.542 0.000
0.000 0.000 2.734
Ta Pt V
2 4 4
Cartesian
3.771 3.771 0.000 Ta
0.000 0.000 0.000 Ta
0.972 2.798 0.000 Pt
6.569 4.743 0.000 Pt
2.798 6.569 0.000 Pt
4.743 0.972 0.000 Pt
5.046 6.266 1.367 V
6.266 2.495 1.367 V
1.276 5.046 1.367 V
2.495 1.276 1.367 V

***

2.
TaVZnPt PBE-GGA optimized geometry; space group = No. 216
1.0
-0.632 -3.180 -3.035
2.179 -3.855 0.336
-2.195 -3.704 1.089
V Ta Zn Pt
1 1 1 1
Cartesian
-0.487 -8.055 -1.207 V
-0.324 -5.370 -0.805 Ta
0.000 0.000 0.000 Zn
-0.162 -2.685 -0.402 Pt

***

3.
TaPt2W PBE-GGA optimized geometry; space group = No. 225
1.0
0.000 3.216 3.216
3.216 0.000 3.216
3.216 3.216 0.000
Pt W Ta
2 1 1
Cartesian
4.823 4.823 4.823 Pt
1.608 1.608 1.608 Pt
3.216 3.216 3.216 W
0.000 0.000 0.000 Ta

***

The calculation returns the following energy of formation from the pure elements values, one per record and in order: -161; -73; 5 kJ/mol of formula units.
The calculation returns the following electronic total energy values, one per record and in order: -8.768; -7.260; -9.209 eV per atom.